# 1
{
  "formula": "GdSnBr4",
  "functional": "PBE-GGA",
  "state": "relaxed",
  "magnetic_moment_mub_per_fu": 1.0,
  "crystal_system": "monoclinic",
  "final_energy_ry_per_atom": -0.277,
  "lattice_angstrom": [[6.561, 0.000, 0.000], [0.000, 4.195, 0.000], [-0.494, 0.000, 8.605]],
  "species": ["Gd", "Sn", "Br", "Br", "Br", "Br"],
  "frac_coords": [[0.000, 0.000, 0.000], [0.000, 0.500, 0.500], [0.202, 0.000, 0.716], [0.262, 0.500, 0.112], [0.738, 0.500, 0.888], [0.798, 0.000, 0.284]]
}

# 2
{
  "formula": "FeHgAsOs",
  "functional": "PBE-GGA",
  "state": "relaxed",
  "magnetic_moment_mub_per_fu": 3.1,
  "crystal_system": "cubic",
  "polymorph_energy_mev_per_atom": 199,
  "final_energy_ry_per_atom": -0.383,
  "lattice_angstrom": [[0.000, 3.213, 3.213], [3.213, 0.000, 3.213], [3.213, 3.213, 0.000]],
  "species": ["Fe", "Hg", "As", "Os"],
  "frac_coords": [[0.000, 0.000, 0.000], [0.500, 0.500, 0.500], [0.750, 0.750, 0.750], [0.250, 0.250, 0.250]]
}

# 3
{
  "formula": "Sr2CuReS6",
  "functional": "PBE-GGA",
  "state": "relaxed",
  "magnetic_moment_mub_per_fu": 0.2,
  "crystal_system": "monoclinic",
  "final_energy_ry_per_atom": -0.383,
  "lattice_angstrom": [[6.706, 0.000, 0.000], [0.000, 6.691, 0.000], [-6.616, 0.000, 9.266]],
  "species": ["Sr", "Sr", "Sr", "Sr", "Cu", "Cu", "Re", "Re", "S", "S", "S", "S", "S", "S", "S", "S", "S", "S", "S", "S"],
  "frac_coords": [[0.242, 0.059, 0.253], [0.242, 0.441, 0.753], [0.758, 0.559, 0.247], [0.758, 0.941, 0.747], [0.500, 0.000, 0.000], [0.500, 0.500, 0.500], [0.000, 0.000, 0.500], [0.000, 0.500, 0.000], [0.160, 0.209, 0.960], [0.160, 0.291, 0.460], [0.241, 0.707, 0.958], [0.241, 0.793, 0.458], [0.326, 0.006, 0.748], [0.326, 0.494, 0.248], [0.674, 0.506, 0.752], [0.674, 0.994, 0.252], [0.759, 0.207, 0.542], [0.759, 0.293, 0.042], [0.840, 0.709, 0.540], [0.840, 0.791, 0.040]]
}

# 4
{
  "formula": "ReOsPd",
  "functional": "PBE-GGA",
  "state": "relaxed",
  "magnetic_moment_mub_per_fu": 0.0,
  "crystal_system": "cubic",
  "ef_ev_per_fu": 1.9,
  "polymorph_energy_mev_per_atom": 0,
  "final_energy_ry_per_atom": -0.659,
  "lattice_angstrom": [[0.000, 2.967, 2.967], [2.967, 0.000, 2.967], [2.967, 2.967, 0.000]],
  "species": ["Re", "Os", "Pd"],
  "frac_coords": [[0.000, 0.000, 0.000], [0.750, 0.750, 0.750], [0.250, 0.250, 0.250]]
}

# 5
{
  "formula": "BeSiTeMo",
  "functional": "PBE-GGA",
  "state": "relaxed",
  "magnetic_moment_mub_per_fu": 0.0,
  "crystal_system": "cubic",
  "polymorph_energy_mev_per_atom": 185,
  "final_energy_ry_per_atom": -0.365,
  "lattice_angstrom": [[0.000, 3.173, 3.173], [3.173, 0.000, 3.173], [3.173, 3.173, 0.000]],
  "species": ["Be", "Si", "Te", "Mo"],
  "frac_coords": [[0.000, 0.000, 0.000], [0.500, 0.500, 0.500], [0.250, 0.250, 0.250], [0.750, 0.750, 0.750]]
}

# 6
{
  "formula": "Zr5Au",
  "functional": "PBE-GGA",
  "state": "relaxed",
  "magnetic_moment_mub_per_fu": 0.0,
  "crystal_system": "hexagonal",
  "ef_ev_per_fu": -0.6,
  "final_energy_ry_per_atom": -0.571,
  "lattice_angstrom": [[5.406, 0.000, 0.000], [-2.703, 4.682, 0.000], [0.000, 0.000, 5.193]],
  "species": ["Zr", "Zr", "Zr", "Zr", "Zr", "Au"],
  "frac_coords": [[0.000, 0.321, 0.000], [0.321, 0.000, 0.000], [0.333, 0.667, 0.500], [0.667, 0.333, 0.500], [0.679, 0.679, 0.000], [0.000, 0.000, 0.500]]
}

# 7
{
  "formula": "SmCuPt",
  "functional": "PBE-GGA",
  "state": "relaxed",
  "magnetic_moment_mub_per_fu": 0.0,
  "crystal_system": "cubic",
  "ef_ev_per_fu": -0.5,
  "polymorph_energy_mev_per_atom": 390,
  "final_energy_ry_per_atom": -0.367,
  "lattice_angstrom": [[0.000, 3.306, 3.306], [3.306, 0.000, 3.306], [3.306, 3.306, 0.000]],
  "species": ["Sm", "Cu", "Pt"],
  "frac_coords": [[0.000, 0.000, 0.000], [0.750, 0.750, 0.750], [0.250, 0.250, 0.250]]
}

# 8
{
  "formula": "TbDyGe2Pt",
  "functional": "PBE-GGA",
  "state": "relaxed",
  "magnetic_moment_mub_per_fu": 0.1,
  "crystal_system": "monoclinic",
  "final_energy_ry_per_atom": -0.435,
  "lattice_angstrom": [[5.250, -2.178, 0.000], [5.250, 2.178, 0.000], [-4.789, 0.000, 9.254]],
  "species": ["Tb", "Tb", "Dy", "Dy", "Ge", "Ge", "Ge", "Ge", "Pt", "Pt"],
  "frac_coords": [[0.189, 0.189, 0.114], [0.811, 0.811, 0.886], [0.010, 0.010, 0.329], [0.990, 0.990, 0.671], [0.356, 0.356, 0.448], [0.476, 0.476, 0.114], [0.524, 0.524, 0.886], [0.644, 0.644, 0.552], [0.272, 0.272, 0.665], [0.728, 0.728, 0.335]]
}

# 9
{
  "formula": "LaPr2Sn3Pd3",
  "functional": "PBE-GGA",
  "state": "relaxed",
  "magnetic_moment_mub_per_fu": 0.0,
  "crystal_system": "orthorhombic",
  "final_energy_ry_per_atom": -0.411,
  "lattice_angstrom": [[4.182, 0.000, 0.000], [0.000, 6.650, 3.847], [0.000, -6.650, 3.847]],
  "species": ["La", "Pr", "Pr", "Sn", "Sn", "Sn", "Pd", "Pd", "Pd"],
  "frac_coords": [[0.000, 0.000, 0.000], [0.000, 0.173, 0.586], [0.000, 0.586, 0.173], [0.500, 0.337, 0.337], [0.500, 0.583, 0.835], [0.500, 0.835, 0.583], [0.000, 0.585, 0.585], [0.500, 0.251, 0.918], [0.500, 0.918, 0.251]]
}

# 10
{
  "formula": "NpNbAs",
  "functional": "PBE-GGA",
  "state": "relaxed",
  "magnetic_moment_mub_per_fu": 3.4,
  "crystal_system": "cubic",
  "final_energy_ry_per_atom": -0.667,
  "lattice_angstrom": [[0.000, 3.189, 3.189], [3.189, 0.000, 3.189], [3.189, 3.189, 0.000]],
  "species": ["Np", "Nb", "As"],
  "frac_coords": [[0.000, 0.000, 0.000], [0.500, 0.500, 0.500], [0.750, 0.750, 0.750]]
}

# 11
{
  "formula": "ZnCoSnSe3",
  "functional": "PBE-GGA",
  "state": "relaxed",
  "magnetic_moment_mub_per_fu": 2.2,
  "crystal_system": "orthorhombic",
  "polymorph_energy_mev_per_atom": 0,
  "final_energy_ry_per_atom": -0.293,
  "lattice_angstrom": [[1.886, -6.779, 0.000], [1.886, 6.779, 0.000], [0.000, 0.000, 9.946]],
  "species": ["Zn", "Zn", "Co", "Co", "Sn", "Sn", "Se", "Se", "Se", "Se", "Se", "Se"],
  "frac_coords": [[0.000, 0.000, 0.000], [0.000, 0.000, 0.500], [0.471, 0.529, 0.750], [0.529, 0.471, 0.250], [0.228, 0.772, 0.250], [0.772, 0.228, 0.750], [0.075, 0.925, 0.750], [0.365, 0.635, 0.558], [0.365, 0.635, 0.942], [0.635, 0.365, 0.058], [0.635, 0.365, 0.442], [0.925, 0.075, 0.250]]
}

# 12
{
  "formula": "CdCoBIr",
  "functional": "PBE-GGA",
  "state": "relaxed",
  "magnetic_moment_mub_per_fu": 0.0,
  "crystal_system": "cubic",
  "polymorph_energy_mev_per_atom": 0,
  "final_energy_ry_per_atom": -0.378,
  "lattice_angstrom": [[0.000, 2.955, 2.955], [2.955, 0.000, 2.955], [2.955, 2.955, 0.000]],
  "species": ["Cd", "Co", "B", "Ir"],
  "frac_coords": [[0.000, 0.000, 0.000], [0.750, 0.750, 0.750], [0.500, 0.500, 0.500], [0.250, 0.250, 0.250]]
}